# 1
! Yb2ZnTe2S2O14 (PBE, relaxed); values from VASP
&SYSTEM
  ibrav = 0, nat = 21, ntyp = 5
/
ATOMIC_SPECIES
O 16.00 O.upf
S 32.06 S.upf
Zn 65.41 Zn.upf
Te 127.60 Te.upf
Yb 173.04 Yb.upf
ATOMIC_POSITIONS crystal
O 0.395 0.565 0.650
O 0.948 0.698 0.734
O 0.125 0.818 0.192
O 0.053 0.724 0.419
O 0.290 0.180 0.762
O 0.947 0.276 0.581
O 0.605 0.435 0.350
O 0.621 0.916 0.885
O 0.379 0.084 0.115
O 0.875 0.182 0.808
O 0.802 0.530 0.080
O 0.198 0.470 0.920
O 0.710 0.820 0.238
O 0.052 0.302 0.266
S 0.077 0.278 0.767
S 0.923 0.722 0.233
Zn 0.000 0.500 0.500
Te 0.378 0.243 0.354
Te 0.622 0.757 0.646
Yb 0.664 0.228 0.019
Yb 0.336 0.772 0.981
CELL_PARAMETERS angstrom
5.495 -0.024 -0.025
-0.822 8.138 0.039
-2.532 -3.588 7.061
! * raw formation energy: -1705 meV/atom
! * SG: P-1, No. 2

# 2
! MgSb2IF (PBE, relaxed); values from VASP
&SYSTEM
  ibrav = 0, nat = 5, ntyp = 4
/
ATOMIC_SPECIES
I 126.90 I.upf
F 19.00 F.upf
Sb 121.76 Sb.upf
Mg 24.30 Mg.upf
ATOMIC_POSITIONS crystal
I 0.000 0.000 0.500
F 0.500 0.500 0.500
Sb 0.000 0.500 0.000
Sb 0.500 0.000 0.000
Mg 0.000 0.000 0.000
CELL_PARAMETERS angstrom
-3.817 -1.531 -3.490
3.683 -2.750 -2.821
-0.994 -4.450 3.040
! * raw formation energy: 129 meV/atom
! * SG: P4/mmm, No. 123

# 3
! MgZnCdGa (PBE, relaxed); values from VASP
&SYSTEM
  ibrav = 0, nat = 4, ntyp = 4
/
ATOMIC_SPECIES
Mg 24.30 Mg.upf
Cd 112.41 Cd.upf
Ga 69.72 Ga.upf
Zn 65.41 Zn.upf
ATOMIC_POSITIONS crystal
Mg 0.250 0.250 0.250
Cd 0.750 0.750 0.750
Ga 0.000 0.000 0.000
Zn 0.500 0.500 0.500
CELL_PARAMETERS angstrom
4.817 0.000 0.000
2.408 4.171 0.000
2.408 1.390 3.933
! * SG: F-43m, No. 216
! * DFT formation energy: 1.0 kJ/mol of atoms

# 4
! Y2WAu (PBE, relaxed); values from VASP
&SYSTEM
  ibrav = 0, nat = 4, ntyp = 3
/
ATOMIC_SPECIES
Au 196.97 Au.upf
W 183.84 W.upf
Y 88.91 Y.upf
ATOMIC_POSITIONS crystal
Au 0.500 0.500 0.500
W 0.000 0.000 0.000
Y 0.750 0.750 0.750
Y 0.250 0.250 0.250
CELL_PARAMETERS angstrom
-3.552 -3.059 1.804
-4.444 1.868 1.408
-4.107 -0.963 -2.727
! * SG: Fm-3m, No. 225
! * DFT formation energy: 11.3 kJ/mol of atoms

| no. | V (Å³/cell) |
| --- | --- |
| 1 | 315.8 |
| 2 | 159.4 |
| 3 | 79.0 |
| 4 | 89.6 |